Ga2SnSb2 | the Alexandria database | PBE-GGA | relaxed; formation energy without anion corrections = 86 meV per atom; SG = No. 127; uncorrected energy = -3.575 eV per atom; distance to the lowest polymorph of the same formula = 0 meV/atom
1.0
-1.7584 4.4055 7.2183
-8.3770 -1.9156 -0.8716
0.4567 -2.8350 1.8415
Ga Sn Sb
4 2 4
Cartesian
-5.3111 -2.0434 1.3309
-1.5331 -0.0573 3.4516
-4.3677 1.6983 6.8573
-8.1457 -0.2878 4.7366
0.0000 0.0000 0.0000
-5.0677 1.2449 3.1733
-7.0325 2.4109 5.4556
-2.5416 2.6111 4.6501
-7.5939 -0.1212 1.6966
-3.1030 0.0790 0.8911